Entry from Alexandria via LeMat-Bulk: an optimized crystal structure of KSnHg2Te (PBE-GGA).

POSCAR file:
```
KSnHg2Te
1.0
5.643 0.000 0.000
0.000 5.643 0.000
0.000 0.000 6.136
K Sn Hg Te
1 1 2 1
Cartesian
0.000 0.000 0.000
2.822 2.822 3.068
0.000 2.822 3.068
2.822 0.000 3.068
2.822 2.822 0.000
```

- calculated volume (A^3/atom) = 39.08
- raw formation energy (meV/atom) = -234